A plane-wave DFT calculation with PBE was carried out for CeAu2Br6 after structural relaxation.

Cell: 10.2464 10.2464 7.1333 Å, 96.15 96.15 92.49°
Fractional positions:
Ce 0.0877 0.9123 0.7500
Ce 0.9123 0.0877 0.2500
Au 0.3915 0.3931 0.7059
Au 0.3931 0.3915 0.2059
Au 0.6069 0.6085 0.7941
Au 0.6085 0.6069 0.2941
Br 0.0520 0.1719 0.6155
Br 0.0859 0.6718 0.8634
Br 0.1719 0.0520 0.1155
Br 0.2704 0.4975 0.4515
Br 0.3282 0.9141 0.6366
Br 0.4975 0.2704 0.9515
Br 0.5025 0.7296 0.0485
Br 0.6718 0.0859 0.3634
Br 0.7296 0.5025 0.5485
Br 0.8281 0.9480 0.8845
Br 0.9141 0.3282 0.1366
Br 0.9480 0.8281 0.3845

## Properties
total energy = -3.396 eV/atom
ΔE_f (raw) = -893 meV per atom